Entry 1:
An optimized crystal structure of CaSmNi2. Source: Alexandria via LeMat-Bulk, functional GGA-PBE.

a = 4.845 Å, b = 4.845 Å, c = 3.419 Å
α = 90.00°, β = 90.00°, γ = 90.00°
Positions (direct):
Ca 0.000 0.000 0.000
Sm 0.500 0.500 0.000
Ni 0.000 0.500 0.500
Ni 0.500 0.000 0.500

Summary:
E_form = -0.63 eV per formula unit
excess energy over the best structure of this formula in the dataset = 0.086 eV per atom

=====

Entry 2:
An optimized crystal structure of Sr2AlSe. Source: Alexandria via LeMat-Bulk, functional GGA-PBE.

a = 6.366 Å, b = 6.366 Å, c = 5.135 Å
α = 100.40°, β = 100.40°, γ = 37.92°
Positions (direct):
Sr 0.000 0.000 0.000
Sr 0.732 0.732 0.537
Al 0.279 0.279 0.069
Se 0.458 0.458 0.459

Summary:
ΔE_f (raw) = -0.78 eV/atom
excess energy over the best structure of this formula in the dataset = 0.086 eV per atom

=====

Entry 3:
An optimized crystal structure of Tm3PuTl4Se8. Source: Alexandria via LeMat-Bulk, functional GGA-PBE.

a = 9.127 Å, b = 9.127 Å, c = 9.127 Å
α = 54.31°, β = 54.31°, γ = 54.31°
Positions (direct):
Tm 0.000 0.500 0.500
Tm 0.500 0.000 0.500
Tm 0.500 0.500 0.000
Pu 0.000 0.000 0.000
Tl 0.000 0.000 0.500
Tl 0.000 0.500 0.000
Tl 0.500 0.000 0.000
Tl 0.500 0.500 0.500
Se 0.237 0.237 0.728
Se 0.237 0.728 0.237
Se 0.266 0.266 0.266
Se 0.272 0.763 0.763
Se 0.728 0.237 0.237
Se 0.734 0.734 0.734
Se 0.763 0.272 0.763
Se 0.763 0.763 0.272

Summary:
ΔE_f (raw) = -1.30 eV/atom

=====

Entry 4:
An optimized crystal structure of LiHf2ZrN. Source: Alexandria via LeMat-Bulk, functional GGA-PBE.

a = 4.411 Å, b = 4.411 Å, c = 4.533 Å
α = 90.00°, β = 90.00°, γ = 90.00°
Positions (direct):
Li 0.000 0.000 0.000
Hf 0.000 0.500 0.500
Hf 0.500 0.000 0.500
Zr 0.500 0.500 0.000
N 0.500 0.500 0.500

Summary:
ΔE_f (raw) = -0.56 eV/atom

=====

Entry 5:
An optimized crystal structure of Pr4Tm2Pb3O2. Source: Alexandria via LeMat-Bulk, functional GGA-PBE.

a = 13.295 Å, b = 13.295 Å, c = 13.295 Å
α = 158.91°, β = 158.91°, γ = 30.00°
Positions (direct):
Pr 0.085 0.585 0.500
Pr 0.415 0.915 0.500
Pr 0.585 0.085 0.500
Pr 0.915 0.415 0.500
Tm 0.194 0.194 0.000
Tm 0.806 0.806 0.000
Pb 0.317 0.317 0.000
Pb 0.500 0.500 0.000
Pb 0.683 0.683 0.000
O 0.109 0.109 0.000
O 0.891 0.891 0.000

Summary:
ΔE_f (raw) = -1.31 eV/atom

=====

Entry 6:
An optimized crystal structure of DyLu2Br. Source: Alexandria via LeMat-Bulk, functional GGA-PBE.

a = 10.256 Å, b = 10.256 Å, c = 10.256 Å
α = 20.17°, β = 20.17°, γ = 20.17°
Positions (direct):
Dy 0.000 0.000 0.000
Lu 0.243 0.243 0.243
Lu 0.757 0.757 0.757
Br 0.500 0.500 0.500

Summary:
ΔE_f (raw) = -0.47 eV/atom